5
Lattice="3.367 0.000 0.000 0.000 4.601 0.000 0.000 0.000 4.601" Properties=species:S:1:pos:R:3 comment="MnAlP2O, relaxed, DFT GGA-PBEsol" dos_ef_per_ev_cell=3.2 crystal_system=tetragonal formation_energy_uncorrected_ev_per_fu=-1.1 relative_energy_mev_per_atom=0 magmom_total_mub_per_fu=0.7 pbc="T T T"
P 0.000 0.000 2.300
P 0.000 2.300 0.000
Mn 0.000 0.000 0.000
Al 1.684 2.300 2.300
O 1.684 0.000 0.000